(1)
Compound: SbPSe2
Source: Alexandria
Functional: PBE
Structure: optimized geometry

Cell and atoms, written as extended XYZ:
```
8
Lattice="-3.7051 3.7051 3.3949 3.7051 -3.7051 3.3949 3.7051 3.7051 -3.3949" Properties=species:S:1:pos:R:3 pbc="T T T"
Sb 0.0000 0.0000 0.0000
Sb 0.0000 3.7051 1.6975
P 3.7051 0.0000 1.6975
P 0.0000 0.0000 3.3949
Se 1.8526 -1.6136 2.5462
Se 2.0915 1.8526 0.8487
Se 1.8526 5.3187 -0.8487
Se 1.6136 1.8526 4.2437
```

Magnetic moment = 0.0 μB per cell
Space group = I-42d (122)
Theoretical density = 5.5 g cm⁻³
Energy above the most stable polymorph in this dataset = 277 meV/atom
ΔE_f (raw) = 279 meV per atom

***

(2)
Compound: SbPSe2
Source: Alexandria
Functional: PBE
Structure: optimized geometry

Cell and atoms, written as extended XYZ:
```
4
Lattice="1.8077 -3.5073 0.0000 1.8077 3.5073 0.0000 0.0000 0.0000 7.9149" Properties=species:S:1:pos:R:3 pbc="T T T"
Sb 0.0000 0.0000 0.0000
P 0.0000 0.0000 3.9575
Se 1.8077 0.0000 2.2536
Se 1.8077 0.0000 5.6613
```

Magnetic moment = 0.0 μB per cell
Space group = Cmmm (65)
Theoretical density = 5.1 g cm⁻³
Energy above the most stable polymorph in this dataset = 343 meV/atom
ΔE_f (raw) = 344 meV per atom

***

(3)
Compound: SbPSe2
Source: Alexandria
Functional: PBE
Structure: optimized geometry

Cell and atoms, written as extended XYZ:
```
4
Lattice="0.0000 3.4642 3.4642 3.4642 0.0000 3.4642 3.4642 3.4642 0.0000" Properties=species:S:1:pos:R:3 pbc="T T T"
Sb 0.0000 0.0000 0.0000
P 3.4642 3.4642 3.4642
Se 1.7321 1.7321 1.7321
Se 5.1963 5.1963 5.1963
```

Magnetic moment = 0.0 μB per cell
Space group = Fm-3m (225)
Theoretical density = 6.2 g cm⁻³
Energy above the most stable polymorph in this dataset = 449 meV/atom
ΔE_f (raw) = 451 meV per atom

***

(4)
Compound: Sb3PSe
Source: Alexandria
Functional: PBE
Structure: optimized geometry

Cell and atoms, written as extended XYZ:
```
5
Lattice="5.3478 0.0000 0.0000 0.0000 5.3478 0.0000 0.0000 0.0000 5.3478" Properties=species:S:1:pos:R:3 pbc="T T T"
Sb 0.0000 0.0000 2.6739
Sb 0.0000 2.6739 0.0000
Sb 2.6739 0.0000 0.0000
P 2.6739 2.6739 2.6739
Se 0.0000 0.0000 0.0000
```

Magnetic moment = 0.0 μB per cell
Space group = Pm-3m (221)
Theoretical density = 5.2 g cm⁻³
Energy above the most stable polymorph in this dataset = 380 meV/atom
ΔE_f (raw) = 1049 meV per atom

***

(5)
Compound: Sb2PSe
Source: Alexandria
Functional: PBE
Structure: optimized geometry

Cell and atoms, written as extended XYZ:
```
4
Lattice="4.5321 0.0000 0.0000 0.0000 3.8401 0.0000 -1.3902 0.0000 5.9462" Properties=species:S:1:pos:R:3 pbc="T T T"
Sb 0.0000 0.0000 0.0000
Sb 1.4385 1.9201 3.0016
P 1.3941 1.9201 5.5989
Se 3.7079 0.0000 3.0648
```

Magnetic moment = 0.0 μB per cell
Space group = Pm (6)
Theoretical density = 5.7 g cm⁻³
Energy above the most stable polymorph in this dataset = 8 meV/atom
ΔE_f (raw) = 30 meV per atom

***

(6)
Compound: Sb2PSe
Source: Alexandria
Functional: PBE
Structure: optimized geometry

Cell and atoms, written as extended XYZ:
```
4
Lattice="3.5251 0.0000 0.0000 0.0000 3.5251 0.0000 0.0000 0.0000 7.1415" Properties=species:S:1:pos:R:3 pbc="T T T"
Sb 0.0000 0.0000 1.6339
Sb 0.0000 0.0000 5.5076
P 1.7626 1.7626 0.0000
Se 1.7626 1.7626 3.5708
```

Magnetic moment = 0.0 μB per cell
Space group = P4/mmm (123)
Theoretical density = 6.6 g cm⁻³
Energy above the most stable polymorph in this dataset = 244 meV/atom
ΔE_f (raw) = 265 meV per atom

***

(7)
Compound: SbPSe2
Source: Alexandria
Functional: PBE
Structure: optimized geometry

Cell and atoms, written as extended XYZ:
```
4
Lattice="3.8189 0.0000 0.0000 0.0000 3.8592 0.0000 0.0000 0.0000 6.6969" Properties=species:S:1:pos:R:3 pbc="T T T"
Sb 0.0000 0.0000 0.0000
P 1.9095 0.0000 3.3485
Se 0.0000 1.9296 3.3485
Se 1.9095 1.9296 0.0000
```

Magnetic moment = 0.0 μB per cell
Space group = Pmmm (47)
Theoretical density = 5.2 g cm⁻³
Energy above the most stable polymorph in this dataset = 449 meV/atom
ΔE_f (raw) = 451 meV per atom

***

(8)
Compound: SbPSe2
Source: Alexandria
Functional: PBE
Structure: optimized geometry

Cell and atoms, written as extended XYZ:
```
4
Lattice="-1.8025 1.8336 8.0317 1.8025 -1.8336 8.0317 1.8025 1.8336 -8.0317" Properties=species:S:1:pos:R:3 pbc="T T T"
Sb 0.0000 0.0000 0.0000
P 1.8025 0.0000 2.2953
Se 0.0000 0.0000 6.7538
Se 0.0000 1.8336 2.8816
```

Magnetic moment = 0.0 μB per cell
Space group = Imm2 (44)
Theoretical density = 4.9 g cm⁻³
Energy above the most stable polymorph in this dataset = 152 meV/atom
ΔE_f (raw) = 153 meV per atom

***

(9)
Compound: SbP2Se
Source: Alexandria
Functional: PBE
Structure: optimized geometry

Cell and atoms, written as extended XYZ:
```
4
Lattice="1.8396 -3.6167 0.0000 1.8396 3.6167 0.0000 0.0000 0.0000 7.2371" Properties=species:S:1:pos:R:3 pbc="T T T"
Sb 0.0000 0.0000 0.0000
P 1.8396 0.0000 1.8896
P 1.8396 0.0000 5.3475
Se 0.0000 0.0000 3.6186
```

Magnetic moment = 0.0 μB per cell
Space group = Cmmm (65)
Theoretical density = 4.5 g cm⁻³
Energy above the most stable polymorph in this dataset = 426 meV/atom
ΔE_f (raw) = 561 meV per atom

***

(10)
Compound: SbPSe3
Source: Alexandria
Functional: PBE
Structure: optimized geometry

Cell and atoms, written as extended XYZ:
```
5
Lattice="4.8612 0.0000 0.0000 0.0000 4.8612 0.0000 0.0000 0.0000 4.8612" Properties=species:S:1:pos:R:3 pbc="T T T"
Sb 0.0000 0.0000 0.0000
P 2.4306 2.4306 2.4306
Se 0.0000 2.4306 2.4306
Se 2.4306 0.0000 2.4306
Se 2.4306 2.4306 0.0000
```

Magnetic moment = 0.0 μB per cell
Space group = Pm-3m (221)
Theoretical density = 5.6 g cm⁻³
Energy above the most stable polymorph in this dataset = 438 meV/atom
ΔE_f (raw) = 343 meV per atom

***

(11)
Compound: SbPSe2
Source: Alexandria
Functional: PBE
Structure: optimized geometry

Cell and atoms, written as extended XYZ:
```
4
Lattice="1.9112 1.1034 8.5212 -1.9112 1.1034 8.5212 0.0000 -2.2068 8.5212" Properties=species:S:1:pos:R:3 pbc="T T T"
Sb 0.0000 0.0000 0.0000
P 0.0000 0.0000 12.7818
Se 0.0000 0.0000 10.4089
Se 0.0000 0.0000 15.1546
```

Magnetic moment = 0.0 μB per cell
Space group = R-3m (166)
Theoretical density = 4.8 g cm⁻³
Energy above the most stable polymorph in this dataset = 338 meV/atom
ΔE_f (raw) = 340 meV per atom

***

(12)
Compound: Sb2PSe
Source: Alexandria
Functional: PBE
Structure: optimized geometry

Cell and atoms, written as extended XYZ:
```
4
Lattice="2.0953 1.2097 6.4530 -2.0953 1.2097 6.4530 0.0000 -2.4195 6.4530" Properties=species:S:1:pos:R:3 pbc="T T T"
Sb 0.0000 0.0000 4.6861
Sb 0.0000 0.0000 14.6729
P 0.0000 0.0000 9.6795
Se 0.0000 0.0000 0.0000
```

Magnetic moment = 0.0 μB per cell
Space group = R-3m (166)
Theoretical density = 6.0 g cm⁻³
Energy above the most stable polymorph in this dataset = 31 meV/atom
ΔE_f (raw) = 52 meV per atom

***

Q: What is the magnetic moment in the first record?
A: 0.0 μB per cell